[1]
VASP calculation (GGA-PBEsol) on a geometry-optimized CeNiAs structure.

```
3
Lattice="4.056 0.000 0.000 -2.028 3.512 0.000 0.000 0.000 3.851" Properties=species:S:1:pos:R:3 pbc="T T T"
Ce 0.000 0.000 0.000
Ni 0.000 2.342 1.925
As 2.028 1.171 1.925
```

Results
* formation energy from the elements: -97.2 kJ/mol of atoms
* space group: P-6m2, No. 187
* M_tot: 0.18 μB/f.u.

=====

[2]
VASP calculation (GGA-PBEsol) on a geometry-optimized SrLaHg2Pd structure.

```
5
Lattice="5.602 0.000 0.000 0.000 5.602 0.000 0.000 0.000 6.504" Properties=species:S:1:pos:R:3 pbc="T T T"
Sr 0.000 0.000 0.000
La 0.000 0.000 3.252
Hg 0.000 2.801 3.252
Hg 2.801 0.000 3.252
Pd 2.801 2.801 0.000
```

Results
* formation energy from the elements: 93.1 kJ/mol of atoms
* space group: P4/mmm, No. 123
* M_tot: 0.00 μB/f.u.

=====

[3]
VASP calculation (GGA-PBEsol) on a geometry-optimized SnCSe3 structure.

```
5
Lattice="4.471 0.000 0.000 0.000 4.471 0.000 0.000 0.000 4.471" Properties=species:S:1:pos:R:3 pbc="T T T"
Sn 0.000 0.000 0.000
C 2.236 2.236 2.236
Se 0.000 2.236 2.236
Se 2.236 0.000 2.236
Se 2.236 2.236 0.000
```

Results
* uncorrected formation energy: 0.72 eV per atom
* space group: Pm-3m, No. 221
* M_tot: 0.00 μB/f.u.

=====

> Look up the M_tot of the first one.

0.18 μB/f.u.